# RbLiSn3 (PBE, relaxed)
# Formation energy ... -1.132 eV per formula unit
# Total magnetization ... 0.0 μB/f.u.
# Relative energy among the computed polymorphs ... 0.0 meV/atom
data_RbLiSn3
_chemical_formula_sum 'Rb4 Li4 Sn12'
_cell_length_a 7.257
_cell_length_b 12.579
_cell_length_c 6.828
_cell_angle_alpha 90.00
_cell_angle_beta 90.00
_cell_angle_gamma 90.00
_symmetry_space_group_name_H-M 'C m c m'
_symmetry_Int_Tables_number 63
_symmetry_space_group_name_Hall '-C 2c 2'
loop_
_atom_site_label
_atom_site_type_symbol
_atom_site_fract_x
_atom_site_fract_y
_atom_site_fract_z
Rb1 Rb 0.000 0.241 0.250
Li1 Li 0.000 0.116 0.750
Sn1 Sn 0.000 0.351 0.750
Sn2 Sn 0.228 0.500 0.000